No. 1
Y3VCo | PBE | optimized geometry

SG = No. 221
ΔE_f = 0.33 eV/atom
energy = -33.97 eV/f.u.
energy above the lowest structure with this stoichiometry = 0.00 kJ per mole of atoms

a b c (Å): 5.162 5.162 5.162
angles (deg): 90.00 90.00 90.00
Element x y z (fractional)
Y (0.000, 0.500, 0.000)
Y (0.000, 0.000, 0.500)
Y (0.500, 0.000, 0.000)
Co (0.000, 0.000, 0.000)
V (0.500, 0.500, 0.500)

No. 2
Pr5Nd4Mg2 | PBE | optimized geometry

SG = No. 10
ΔE_f = 0.06 eV/atom
energy = -45.53 eV/f.u.
energy above the lowest structure with this stoichiometry = 0.80 kJ per mole of atoms

a b c (Å): 3.546 8.948 11.721
angles (deg): 94.40 90.00 90.00
Element x y z (fractional)
Pr (0.000, 0.566, 0.298)
Pr (0.000, 0.202, 0.167)
Pr (0.000, 0.500, 0.000)
Pr (0.000, 0.798, 0.833)
Pr (0.000, 0.434, 0.702)
Nd (0.500, 0.725, 0.549)
Nd (0.500, 0.151, 0.882)
Nd (0.500, 0.275, 0.451)
Nd (0.500, 0.849, 0.118)
Mg (0.000, 0.054, 0.631)
Mg (0.000, 0.946, 0.369)